Mn2NbAg2S6: relaxed, PBE.

a = 5.7948 Å, b = 5.7948 Å, c = 8.1638 Å
α = 101.26°, β = 101.26°, γ = 121.00°
Site moments in Bohr magnetons follow the coordinates.
Fractional positions:
1 S 0.7570 0.7570 0.6968  0.01
2 Nb 0.0000 0.0000 0.5000  -0.68
3 Ag 0.6911 0.3089 0.0000  -0.01
4 Ag 0.3089 0.6911 0.0000  -0.01
5 S 0.5417 0.9004 0.3186  -0.01
6 S 0.0996 0.4583 0.6814  -0.01
7 Mn 0.6516 0.3484 0.5000  1.90
8 S 0.2430 0.2430 0.3032  0.01
9 Mn 0.3484 0.6516 0.5000  1.90
10 S 0.9004 0.5417 0.3186  -0.01
11 S 0.4583 0.0996 0.6814  -0.01

Output
E (eV per cell): -64.348
Total magnetization (μB per atom): 0.270
D(E_F) (states/eV/cell): 2.2
Formation energy without anion corrections (meV/atom): -497